DFT (GGA-PBE) results for a relaxed structure of BeFe2Ru.

```
data_BeFe2Ru
_space_group_name_H-M_alt 'P 1'
_space_group_IT_number 1
_space_group_name_Hall 'P 1'
_cell_length_a 3.0253
_cell_length_b 3.7381
_cell_length_c 3.9966
_cell_angle_alpha 90.00
_cell_angle_beta 90.00
_cell_angle_gamma 90.00
loop_
_atom_site_label
_atom_site_type_symbol
_atom_site_fract_x
_atom_site_fract_y
_atom_site_fract_z
_atom_site_occupancy
Be1 Be 0.0000 0.0000 0.0000 1
Fe1 Fe 0.0000 0.5000 0.5000 1
Fe2 Fe 0.5000 0.0000 0.5000 1
Ru1 Ru 0.5000 0.5000 0.0000 1
```

Summary:
- Total moment: 4.60 Bohr magnetons per cell
- D(E_F): 3.61 states/eV/f.u.
- VASP energy: -30.0 eV per cell
- Formation energy from the elements: -0.11 eV per formula unit

DFT (GGA-PBE) results for a relaxed structure of TlVRe2Pb.

```
data_TlVRe2Pb
_space_group_name_H-M_alt 'P 1'
_space_group_IT_number 1
_space_group_name_Hall 'P 1'
_cell_length_a 4.6334
_cell_length_b 4.6334
_cell_length_c 5.2331
_cell_angle_alpha 90.00
_cell_angle_beta 90.00
_cell_angle_gamma 90.00
loop_
_atom_site_label
_atom_site_type_symbol
_atom_site_fract_x
_atom_site_fract_y
_atom_site_fract_z
_atom_site_occupancy
Tl1 Tl 0.0000 0.0000 0.0000 1
V1 V 0.5000 0.5000 0.5000 1
Re1 Re 0.0000 0.5000 0.5000 1
Re2 Re 0.5000 0.0000 0.5000 1
Pb1 Pb 0.5000 0.5000 0.0000 1
```

Summary:
- Total moment: 0.89 Bohr magnetons per cell
- D(E_F): 5.60 states/eV/f.u.
- VASP energy: -32.4 eV per cell
- Formation energy from the elements: 7.68 eV per formula unit

DFT (GGA-PBE) results for a relaxed structure of ScCoBi.

```
data_ScCoBi
_space_group_name_H-M_alt 'P 1'
_space_group_IT_number 1
_space_group_name_Hall 'P 1'
_cell_length_a 12.5957
_cell_length_b 12.5957
_cell_length_c 12.5957
_cell_angle_alpha 164.92
_cell_angle_beta 164.92
_cell_angle_gamma 21.40
loop_
_atom_site_label
_atom_site_type_symbol
_atom_site_fract_x
_atom_site_fract_y
_atom_site_fract_z
_atom_site_occupancy
Sc1 Sc 0.1688 0.1688 0.0000 1
Sc2 Sc 0.8312 0.8312 0.0000 1
Co1 Co 0.2677 0.2677 0.0000 1
Co2 Co 0.7323 0.7323 0.0000 1
Bi1 Bi 0.4222 0.4222 0.0000 1
Bi2 Bi 0.5778 0.5778 0.0000 1
```

Summary:
- Total moment: 1.95 Bohr magnetons per cell
- D(E_F): 2.20 states/eV/f.u.
- VASP energy: -35.8 eV per cell
- Formation energy from the elements: -0.57 eV per formula unit

DFT (GGA-PBE) results for a relaxed structure of TbSm6Tm4.

```
data_TbSm6Tm4
_space_group_name_H-M_alt 'P 1'
_space_group_IT_number 1
_space_group_name_Hall 'P 1'
_cell_length_a 5.6206
_cell_length_b 5.6206
_cell_length_c 25.7057
_cell_angle_alpha 90.00
_cell_angle_beta 90.00
_cell_angle_gamma 118.36
loop_
_atom_site_label
_atom_site_type_symbol
_atom_site_fract_x
_atom_site_fract_y
_atom_site_fract_z
_atom_site_occupancy
Tb1 Tb 0.2006 0.7994 0.7500 1
Tb2 Tb 0.7994 0.2006 0.2500 1
Sm1 Sm 0.1339 0.8661 0.1817 1
Sm2 Sm 0.1339 0.8661 0.3183 1
Sm3 Sm 0.1928 0.8072 0.6011 1
Sm4 Sm 0.1928 0.8072 0.8989 1
Sm5 Sm 0.4632 0.5368 0.2500 1
Sm6 Sm 0.5000 0.5000 0.0000 1
Sm7 Sm 0.5000 0.5000 0.5000 1
Sm8 Sm 0.5368 0.4632 0.7500 1
Sm9 Sm 0.8072 0.1928 0.1011 1
Sm10 Sm 0.8072 0.1928 0.3989 1
Sm11 Sm 0.8661 0.1339 0.6817 1
Sm12 Sm 0.8661 0.1339 0.8183 1
Tm1 Tm 0.1542 0.8458 0.0438 1
Tm2 Tm 0.1542 0.8458 0.4562 1
Tm3 Tm 0.4674 0.5326 0.1232 1
Tm4 Tm 0.4674 0.5326 0.3768 1
Tm5 Tm 0.5326 0.4674 0.6232 1
Tm6 Tm 0.5326 0.4674 0.8768 1
Tm7 Tm 0.8458 0.1542 0.5438 1
Tm8 Tm 0.8458 0.1542 0.9562 1
```

Summary:
- Total moment: 0.00 Bohr magnetons per cell
- D(E_F): 18.20 states/eV/f.u.
- VASP energy: -99.1 eV per cell
- Formation energy from the elements: 1.27 eV per formula unit

DFT (GGA-PBE) results for a relaxed structure of SrLaPrMg.

```
data_SrLaPrMg
_space_group_name_H-M_alt 'P 1'
_space_group_IT_number 1
_space_group_name_Hall 'P 1'
_cell_length_a 5.8892
_cell_length_b 5.8892
_cell_length_c 5.8892
_cell_angle_alpha 60.00
_cell_angle_beta 60.00
_cell_angle_gamma 60.00
loop_
_atom_site_label
_atom_site_type_symbol
_atom_site_fract_x
_atom_site_fract_y
_atom_site_fract_z
_atom_site_occupancy
Sr1 Sr 0.0000 0.0000 0.0000 1
La1 La 0.2500 0.2500 0.2500 1
Pr1 Pr 0.7500 0.7500 0.7500 1
Mg1 Mg 0.5000 0.5000 0.5000 1
```

Summary:
- Total moment: 0.00 Bohr magnetons per cell
- D(E_F): 4.87 states/eV/f.u.
- VASP energy: -12.5 eV per cell
- Formation energy from the elements: 0.43 eV per formula unit

DFT (GGA-PBE) results for a relaxed structure of Al2Co2Au.

```
data_Al2Co2Au
_space_group_name_H-M_alt 'P 1'
_space_group_IT_number 1
_space_group_name_Hall 'P 1'
_cell_length_a 6.9014
_cell_length_b 6.9014
_cell_length_c 2.8121
_cell_angle_alpha 90.00
_cell_angle_beta 90.00
_cell_angle_gamma 90.00
loop_
_atom_site_label
_atom_site_type_symbol
_atom_site_fract_x
_atom_site_fract_y
_atom_site_fract_z
_atom_site_occupancy
Al1 Al 0.1663 0.3337 0.0000 1
Al2 Al 0.3337 0.8337 0.0000 1
Al3 Al 0.6663 0.1663 0.0000 1
Al4 Al 0.8337 0.6663 0.0000 1
Co1 Co 0.1282 0.6282 0.5000 1
Co2 Co 0.3718 0.1282 0.5000 1
Co3 Co 0.6282 0.8718 0.5000 1
Co4 Co 0.8718 0.3718 0.5000 1
Au1 Au 0.0000 0.0000 0.5000 1
Au2 Au 0.5000 0.5000 0.5000 1
```

Summary:
- Total moment: 0.00 Bohr magnetons per cell
- D(E_F): 4.08 states/eV/f.u.
- VASP energy: -52.7 eV per cell
- Formation energy from the elements: -1.39 eV per formula unit

DFT (GGA-PBE) results for a relaxed structure of SrNiP2S8.

```
data_SrNiP2S8
_space_group_name_H-M_alt 'P 1'
_space_group_IT_number 1
_space_group_name_Hall 'P 1'
_cell_length_a 5.8355
_cell_length_b 5.8355
_cell_length_c 8.4439
_cell_angle_alpha 90.00
_cell_angle_beta 90.00
_cell_angle_gamma 120.00
loop_
_atom_site_label
_atom_site_type_symbol
_atom_site_fract_x
_atom_site_fract_y
_atom_site_fract_z
_atom_site_occupancy
Sr1 Sr 0.0000 0.0000 0.0000 1
Ni1 Ni 0.0000 0.0000 0.5000 1
P1 P 0.3333 0.6667 0.7283 1
P2 P 0.6667 0.3333 0.2717 1
S1 S 0.0028 0.6943 0.3282 1
S2 S 0.3057 0.3085 0.3282 1
S3 S 0.3085 0.0028 0.6718 1
S4 S 0.3333 0.6667 0.9670 1
S5 S 0.6667 0.3333 0.0330 1
S6 S 0.6915 0.9972 0.3282 1
S7 S 0.6943 0.6915 0.6718 1
S8 S 0.9972 0.3057 0.6718 1
```

Summary:
- Total moment: 0.00 Bohr magnetons per cell
- D(E_F): 0.74 states/eV/f.u.
- VASP energy: -56.6 eV per cell
- Raw formation energy: -0.442 eV per atom

DFT (GGA-PBE) results for a relaxed structure of YMnFe.

```
data_YMnFe
_space_group_name_H-M_alt 'P 1'
_space_group_IT_number 1
_space_group_name_Hall 'P 1'
_cell_length_a 5.1421
_cell_length_b 5.1421
_cell_length_c 5.1421
_cell_angle_alpha 120.60
_cell_angle_beta 118.98
_cell_angle_gamma 90.36
loop_
_atom_site_label
_atom_site_type_symbol
_atom_site_fract_x
_atom_site_fract_y
_atom_site_fract_z
_atom_site_occupancy
Y1 Y 0.3728 0.1228 0.2500 1
Y2 Y 0.6272 0.8772 0.7500 1
Mn1 Mn 0.0000 0.5000 0.5000 1
Mn2 Mn 0.5000 0.5000 0.0000 1
Fe1 Fe 0.0000 0.0000 0.5000 1
Fe2 Fe 0.0000 0.5000 0.0000 1
```

Summary:
- Total moment: 6.08 Bohr magnetons per cell
- D(E_F): 3.81 states/eV/f.u.
- VASP energy: -47.9 eV per cell
- Formation energy from the elements: 0.17 eV per formula unit